Density functional theory data (PBE-GGA) for a relaxed structure of HfTi3Ga6.

Cell and atoms, written as POSCAR:
```
HfTi3Ga6
1.0
5.455 0.000 0.000
0.000 8.263 -0.860
0.000 -2.682 7.862
Ga Ti Hf
12 6 2
direct
0.806 0.992 0.499 Ga
0.553 0.233 0.767 Ga
0.053 0.767 0.233 Ga
0.596 0.255 0.425 Ga
0.807 0.001 0.999 Ga
0.096 0.425 0.255 Ga
0.306 0.499 0.992 Ga
0.806 0.501 0.008 Ga
0.307 0.999 0.001 Ga
0.306 0.008 0.501 Ga
0.096 0.745 0.575 Ga
0.596 0.575 0.745 Ga
0.651 0.593 0.407 Ti
0.558 0.293 0.123 Ti
0.151 0.407 0.593 Ti
0.058 0.123 0.293 Ti
0.558 0.877 0.707 Ti
0.058 0.707 0.877 Ti
0.557 0.834 0.166 Hf
0.057 0.166 0.834 Hf
```

## Properties
DOS at the Fermi energy in states/eV/f.u.: 5.1
E in eV per cell: -108.64
ΔE_f in eV/f.u.: -2.52



Density functional theory data (PBE-GGA) for a relaxed structure of HfTi4Ga5.

Cell and atoms, written as POSCAR:
```
HfTi4Ga5
1.0
5.347 0.000 0.000
0.000 8.907 0.000
0.000 0.000 7.276
Ti Ga Hf
8 10 2
direct
0.994 0.000 0.181 Ti
0.994 0.000 0.819 Ti
0.006 0.500 0.319 Ti
0.821 0.156 0.500 Ti
0.821 0.844 0.500 Ti
0.179 0.344 0.000 Ti
0.006 0.500 0.681 Ti
0.179 0.656 0.000 Ti
0.284 0.238 0.321 Ga
0.716 0.262 0.179 Ga
0.716 0.262 0.821 Ga
0.341 0.000 0.500 Ga
0.659 0.500 0.000 Ga
0.716 0.738 0.179 Ga
0.284 0.762 0.321 Ga
0.716 0.738 0.821 Ga
0.284 0.762 0.679 Ga
0.284 0.238 0.679 Ga
0.482 0.000 0.000 Hf
0.518 0.500 0.500 Hf
```

## Properties
DOS at the Fermi energy in states/eV/f.u.: 8.7
E in eV per cell: -116.35
ΔE_f in eV/f.u.: -1.51



Density functional theory data (PBE-GGA) for a relaxed structure of Hf2TiGa3.

Cell and atoms, written as POSCAR:
```
Hf2TiGa3
1.0
5.803 0.000 0.000
0.000 7.580 -1.917
0.000 -4.908 6.086
Ga Ti Hf
6 2 4
direct
0.470 0.159 0.841 Ga
0.970 0.159 0.841 Ga
0.470 0.841 0.159 Ga
0.970 0.841 0.159 Ga
0.970 0.500 0.500 Ga
0.470 0.500 0.500 Ga
0.219 0.000 0.000 Ti
0.719 0.000 0.000 Ti
0.220 0.671 0.329 Hf
0.720 0.671 0.329 Hf
0.220 0.329 0.671 Hf
0.720 0.329 0.671 Hf
```

## Properties
DOS at the Fermi energy in states/eV/f.u.: 4.8
E in eV per cell: -77.50
ΔE_f in eV/f.u.: -1.87



Density functional theory data (PBE-GGA) for a relaxed structure of Hf5TiGa5.

Cell and atoms, written as POSCAR:
```
Hf5TiGa5
1.0
4.621 -0.124 -0.026
-2.508 7.117 1.520
0.000 -1.344 6.298
Hf Ga Ti
5 5 1
direct
0.372 0.726 0.263 Hf
0.372 0.726 0.736 Hf
0.628 0.274 0.264 Hf
0.628 0.274 0.737 Hf
0.000 0.000 0.500 Hf
0.188 0.379 0.500 Ga
0.809 0.618 0.000 Ga
0.812 0.621 0.500 Ga
0.500 0.000 0.000 Ga
0.191 0.382 0.000 Ga
0.000 0.000 0.000 Ti
```

## Properties
DOS at the Fermi energy in states/eV/f.u.: 10.0
E in eV per cell: -74.65
ΔE_f in eV/f.u.: -1.86



Density functional theory data (PBE-GGA) for a relaxed structure of Hf5Ti2Ga5.

Cell and atoms, written as POSCAR:
```
Hf5Ti2Ga5
1.0
4.461 0.000 0.000
-2.230 5.197 -0.506
0.000 -3.086 10.047
Ga Hf Ti
5 5 2
direct
0.273 0.547 0.224 Ga
0.000 0.000 0.000 Ga
0.727 0.453 0.776 Ga
0.842 0.683 0.536 Ga
0.158 0.317 0.464 Ga
0.500 0.000 0.500 Hf
0.346 0.692 0.995 Hf
0.627 0.253 0.275 Hf
0.373 0.747 0.725 Hf
0.654 0.308 0.005 Hf
0.082 0.165 0.755 Ti
0.918 0.835 0.245 Ti
```

## Properties
DOS at the Fermi energy in states/eV/f.u.: 10.0
E in eV per cell: -83.76
ΔE_f in eV/f.u.: -3.07



Density functional theory data (PBE-GGA) for a relaxed structure of HfTiVGa.

Cell and atoms, written as POSCAR:
```
HfTiVGa
1.0
-1.027 1.382 -2.471
-1.287 -4.042 -1.726
-4.297 0.325 2.443
Hf V Ti Ga
1 1 1 1
direct
0.674 0.500 0.727 Hf
0.209 0.000 0.866 V
0.790 0.000 0.330 Ti
0.232 0.500 0.211 Ga
```

## Properties
DOS at the Fermi energy in states/eV/f.u.: 4.7
E in eV per cell: -30.53
ΔE_f in eV/f.u.: -0.54



Density functional theory data (PBE-GGA) for a relaxed structure of HfTiVGa.

Cell and atoms, written as POSCAR:
```
HfTiVGa
1.0
4.117 0.000 0.000
0.000 4.117 0.000
0.000 0.000 8.012
Hf Ga Ti V
2 2 2 2
direct
0.000 0.000 0.500 Hf
0.500 0.500 0.000 Hf
0.500 0.000 0.250 Ga
0.000 0.500 0.750 Ga
0.000 0.000 0.000 Ti
0.500 0.500 0.500 Ti
0.500 0.000 0.750 V
0.000 0.500 0.250 V
```

## Properties
DOS at the Fermi energy in states/eV/f.u.: 4.3
E in eV per cell: -61.13
ΔE_f in eV/f.u.: -0.57



Density functional theory data (PBE-GGA) for a relaxed structure of HfTiVGa.

Cell and atoms, written as POSCAR:
```
HfTiVGa
1.0
4.938 0.000 0.001
0.000 2.948 0.000
-2.186 0.000 9.290
Hf V Ti Ga
2 2 2 2
direct
0.053 0.000 0.477 Hf
0.053 0.500 0.977 Hf
0.798 0.000 0.722 V
0.798 0.500 0.222 V
0.347 0.000 0.244 Ti
0.347 0.500 0.744 Ti
0.561 0.500 0.491 Ga
0.561 0.000 0.991 Ga
```

## Properties
DOS at the Fermi energy in states/eV/f.u.: 3.9
E in eV per cell: -60.88
ΔE_f in eV/f.u.: -0.44